Sc2CrCdF after structural relaxation, computed with PBE+U.

```
Sc2CrCdF
1.0
-3.204 1.715 -2.416
-0.733 -4.431 -2.174
-2.892 -1.041 3.097
F Sc Cd Cr
1 2 1 1
direct
0.000 0.000 0.000 F
0.500 0.000 0.000 Sc
0.000 0.000 0.500 Sc
0.000 0.500 0.000 Cd
0.500 0.500 0.500 Cr
```

Computed properties:
- Final energy: -4.819 eV/atom
- Spin magnetization: 0.6 μB/f.u.
- D(E_F): 4.16 states/eV per cell
- Calculated volume: 19.0 Å³/atom